# CeNp4S5 (GGA-PBE, optimized geometry)
# **M_tot**: 17.122 μB/cell
# **Energy relative to the elements, uncorrected**: -1499 meV per atom
data_CeNp4S5
_cell_length_a 5.555
_cell_length_b 6.800
_cell_length_c 6.800
_cell_angle_alpha 80.40
_cell_angle_beta 65.89
_cell_angle_gamma 65.89
_space_group_name_H-M_alt 'P 1'
_space_group_IT_number 1
loop_
_space_group_symop_operation_xyz
'x,y,z'
loop_
_atom_site_label
_atom_site_type_symbol
_atom_site_fract_x
_atom_site_fract_y
_atom_site_fract_z
Ce1 Ce 0.001 0.000 0.000
Np1 Np 0.399 0.402 0.803
Np2 Np 0.801 0.803 0.598
Np3 Np 0.202 0.197 0.402
Np4 Np 0.603 0.598 0.197
S1 S 0.900 0.408 0.794
S2 S 0.308 0.794 0.592
S3 S 0.694 0.206 0.408
S4 S 0.102 0.592 0.206
S5 S 0.501 0.000 0.000

# SmEuInCu (GGA-PBE, optimized geometry)
# **Calculated formation energy**: -237 meV per atom
# **M_tot**: 6.902 μB/cell
data_SmEuInCu
_cell_length_a 5.325
_cell_length_b 5.325
_cell_length_c 5.325
_cell_angle_alpha 60.00
_cell_angle_beta 60.00
_cell_angle_gamma 60.00
_space_group_name_H-M_alt 'P 1'
_space_group_IT_number 1
loop_
_space_group_symop_operation_xyz
'x,y,z'
loop_
_atom_site_label
_atom_site_type_symbol
_atom_site_fract_x
_atom_site_fract_y
_atom_site_fract_z
Eu1 Eu 0.000 0.000 0.000
Cu1 Cu 0.250 0.250 0.250
Sm1 Sm 0.500 0.500 0.500
In1 In 0.750 0.750 0.750

# Tl2AgPb (GGA-PBE, optimized geometry)
# **Calculated formation energy**: 58 meV per atom
# **M_tot**: 0.000 μB/cell
data_Tl2AgPb
_cell_length_a 3.517
_cell_length_b 3.515
_cell_length_c 8.869
_cell_angle_alpha 90.00
_cell_angle_beta 90.00
_cell_angle_gamma 90.00
_space_group_name_H-M_alt 'P 1'
_space_group_IT_number 1
loop_
_space_group_symop_operation_xyz
'x,y,z'
loop_
_atom_site_label
_atom_site_type_symbol
_atom_site_fract_x
_atom_site_fract_y
_atom_site_fract_z
Pb1 Pb 0.500 0.500 0.712
Tl1 Tl 0.000 0.000 0.001
Tl2 Tl 0.500 0.500 0.286
Ag1 Ag 0.000 0.000 0.501

# CdIn4Hg2 (GGA-PBE, optimized geometry)
# **Calculated formation energy**: 30 meV per atom
# **M_tot**: 0.000 μB/cell
# **Energy relative to the lowest polymorph listed for this composition**: 0 meV per atom
data_CdIn4Hg2
_cell_length_a 7.657
_cell_length_b 7.657
_cell_length_c 8.438
_cell_angle_alpha 110.11
_cell_angle_beta 110.12
_cell_angle_gamma 108.78
_space_group_name_H-M_alt 'P 1'
_space_group_IT_number 1
loop_
_space_group_symop_operation_xyz
'x,y,z'
loop_
_atom_site_label
_atom_site_type_symbol
_atom_site_fract_x
_atom_site_fract_y
_atom_site_fract_z
In1 In 0.713 0.961 0.592
In2 In 0.526 0.643 0.752
In3 In 0.377 0.140 0.417
In4 In 0.893 0.276 0.252
In5 In 0.031 0.614 0.734
In6 In 0.864 0.781 0.233
In7 In 0.212 0.463 0.093
In8 In 0.390 0.127 0.917
Hg1 Hg 0.629 0.497 0.368
Hg2 Hg 0.128 0.242 0.638
Hg3 Hg 0.747 0.379 0.868
Hg4 Hg 0.492 0.878 0.139
Cd1 Cd 0.238 0.761 0.499
Cd2 Cd 0.011 0.988 0.999

# Ca2AgOsN (GGA-PBE, optimized geometry)
# **M_tot**: 0.000 μB/cell
# **Energy relative to the elements, uncorrected**: -404 meV per atom
# **Energy relative to the lowest polymorph listed for this composition**: 0 meV per atom
data_Ca2AgOsN
_cell_length_a 5.112
_cell_length_b 5.112
_cell_length_c 3.787
_cell_angle_alpha 90.00
_cell_angle_beta 90.00
_cell_angle_gamma 90.00
_space_group_name_H-M_alt 'P 1'
_space_group_IT_number 1
loop_
_space_group_symop_operation_xyz
'x,y,z'
loop_
_atom_site_label
_atom_site_type_symbol
_atom_site_fract_x
_atom_site_fract_y
_atom_site_fract_z
Ca1 Ca 0.000 0.500 0.000
Ca2 Ca 0.500 0.000 0.000
Os1 Os 0.000 0.000 0.500
Ag1 Ag 0.500 0.500 0.500
N1 N 0.000 0.000 0.000

# Tc2Sb8Ir (GGA-PBE, optimized geometry)
# **M_tot**: 0.000 μB/cell
# **Energy relative to the elements, uncorrected**: 89 meV per atom
data_Tc2Sb8Ir
_cell_length_a 5.177
_cell_length_b 7.869
_cell_length_c 7.869
_cell_angle_alpha 68.77
_cell_angle_beta 92.34
_cell_angle_gamma 92.34
_space_group_name_H-M_alt 'P 1'
_space_group_IT_number 1
loop_
_space_group_symop_operation_xyz
'x,y,z'
loop_
_atom_site_label
_atom_site_type_symbol
_atom_site_fract_x
_atom_site_fract_y
_atom_site_fract_z
Tc1 Tc 0.251 0.634 0.634
Tc2 Tc 0.749 0.366 0.366
Sb1 Sb 0.313 0.868 0.295
Sb2 Sb 0.313 0.295 0.868
Sb3 Sb 0.687 0.132 0.705
Sb4 Sb 0.238 0.415 0.415
Sb5 Sb 0.687 0.705 0.132
Sb6 Sb 0.271 0.831 0.831
Sb7 Sb 0.729 0.169 0.169
Sb8 Sb 0.762 0.585 0.585
Ir1 Ir 0.000 0.000 0.000

# LiTiC2 (GGA-PBE, optimized geometry)
# **Calculated formation energy**: 985 meV per atom
# **M_tot**: 0.000 μB/cell
# **Energy relative to the lowest polymorph listed for this composition**: 210 meV per atom
data_LiTiC2
_cell_length_a 4.091
_cell_length_b 4.091
_cell_length_c 7.173
_cell_angle_alpha 73.43
_cell_angle_beta 73.43
_cell_angle_gamma 90.00
_space_group_name_H-M_alt 'P 1'
_space_group_IT_number 1
loop_
_space_group_symop_operation_xyz
'x,y,z'
loop_
_atom_site_label
_atom_site_type_symbol
_atom_site_fract_x
_atom_site_fract_y
_atom_site_fract_z
C1 C 0.749 0.125 0.250
C2 C 0.001 0.625 0.250
C3 C 0.375 0.251 0.750
C4 C 0.875 0.999 0.750
Li1 Li 0.500 0.500 0.000
Li2 Li 0.250 0.750 0.500
Ti1 Ti 0.000 0.000 0.000
Ti2 Ti 0.750 0.250 0.500

# Sc5In2Os2Pt (GGA-PBE, optimized geometry)
# **Calculated formation energy**: -481 meV per atom
# **M_tot**: 0.000 μB/cell
data_Sc5In2Os2Pt
_cell_length_a 3.303
_cell_length_b 11.158
_cell_length_c 11.158
_cell_angle_alpha 90.00
_cell_angle_beta 90.00
_cell_angle_gamma 90.00
_space_group_name_H-M_alt 'P 1'
_space_group_IT_number 1
loop_
_space_group_symop_operation_xyz
'x,y,z'
loop_
_atom_site_label
_atom_site_type_symbol
_atom_site_fract_x
_atom_site_fract_y
_atom_site_fract_z
Sc1 Sc 0.500 0.196 0.068
Sc2 Sc 0.500 0.804 0.932
Sc3 Sc 0.500 0.068 0.804
Sc4 Sc 0.500 0.696 0.432
Sc5 Sc 0.500 0.932 0.196
Sc6 Sc 0.500 0.304 0.568
Sc7 Sc 0.500 0.568 0.696
Sc8 Sc 0.500 0.432 0.304
Sc9 Sc 0.500 0.500 0.000
Sc10 Sc 0.500 0.000 0.500
In1 In 0.000 0.674 0.174
In2 In 0.000 0.326 0.826
In3 In 0.000 0.174 0.326
In4 In 0.000 0.826 0.674
Os1 Os 0.000 0.136 0.636
Os2 Os 0.000 0.864 0.364
Os3 Os 0.000 0.636 0.864
Os4 Os 0.000 0.364 0.136
Pt1 Pt 0.000 0.000 0.000
Pt2 Pt 0.000 0.500 0.500

# Ba2Li2Pd15 (GGA-PBE, optimized geometry)
# **Calculated formation energy**: -303 meV per atom
# **M_tot**: 0.000 μB/cell
data_Ba2Li2Pd15
_cell_length_a 7.068
_cell_length_b 7.068
_cell_length_c 7.068
_cell_angle_alpha 83.27
_cell_angle_beta 83.27
_cell_angle_gamma 83.27
_space_group_name_H-M_alt 'P 1'
_space_group_IT_number 1
loop_
_space_group_symop_operation_xyz
'x,y,z'
loop_
_atom_site_label
_atom_site_type_symbol
_atom_site_fract_x
_atom_site_fract_y
_atom_site_fract_z
Ba1 Ba 0.343 0.343 0.343
Ba2 Ba 0.657 0.657 0.657
Li1 Li 0.095 0.095 0.095
Li2 Li 0.905 0.905 0.905
Pd1 Pd 0.500 0.000 0.000
Pd2 Pd 0.000 0.000 0.500
Pd3 Pd 0.000 0.500 0.000
Pd4 Pd 0.000 0.705 0.295
Pd5 Pd 0.705 0.295 0.000
Pd6 Pd 0.295 0.000 0.705
Pd7 Pd 0.295 0.705 0.000
Pd8 Pd 0.705 0.000 0.295
Pd9 Pd 0.000 0.295 0.705
Pd10 Pd 0.154 0.658 0.658
Pd11 Pd 0.658 0.658 0.154
Pd12 Pd 0.658 0.154 0.658
Pd13 Pd 0.846 0.342 0.342
Pd14 Pd 0.342 0.342 0.846
Pd15 Pd 0.342 0.846 0.342

# Sm2LuCo (GGA-PBE, optimized geometry)
# **Calculated formation energy**: 45 meV per atom
# **M_tot**: 1.813 μB/cell
# **Energy relative to the lowest polymorph listed for this composition**: 0 meV per atom
data_Sm2LuCo
_cell_length_a 3.488
_cell_length_b 3.488
_cell_length_c 8.665
_cell_angle_alpha 90.00
_cell_angle_beta 90.00
_cell_angle_gamma 90.00
_space_group_name_H-M_alt 'P 1'
_space_group_IT_number 1
loop_
_space_group_symop_operation_xyz
'x,y,z'
loop_
_atom_site_label
_atom_site_type_symbol
_atom_site_fract_x
_atom_site_fract_y
_atom_site_fract_z
Lu1 Lu 0.500 0.500 0.500
Co1 Co 0.500 0.500 0.000
Sm1 Sm 0.000 0.000 0.807
Sm2 Sm 0.000 0.000 0.193

# BaPa2ZnO8 (GGA-PBE, optimized geometry)
# **M_tot**: 2.016 μB/cell
# **Energy relative to the elements, uncorrected**: -2613 meV per atom
data_BaPa2ZnO8
_cell_length_a 3.918
_cell_length_b 6.133
_cell_length_c 7.452
_cell_angle_alpha 98.07
_cell_angle_beta 89.66
_cell_angle_gamma 90.16
_space_group_name_H-M_alt 'P 1'
_space_group_IT_number 1
loop_
_space_group_symop_operation_xyz
'x,y,z'
loop_
_atom_site_label
_atom_site_type_symbol
_atom_site_fract_x
_atom_site_fract_y
_atom_site_fract_z
Ba1 Ba 0.000 0.000 0.500
Pa1 Pa 0.498 0.540 0.755
Pa2 Pa 0.502 0.460 0.245
Zn1 Zn 0.000 0.000 0.000
O1 O 0.002 0.630 0.254
O2 O 0.499 0.719 0.045
O3 O 0.003 0.209 0.203
O4 O 0.998 0.370 0.746
O5 O 0.501 0.281 0.955
O6 O 0.997 0.791 0.797
O7 O 0.499 0.706 0.514
O8 O 0.501 0.294 0.486

# TbTeSe (GGA-PBE, optimized geometry)
# **M_tot**: 0.000 μB/cell
# **Energy relative to the elements, uncorrected**: -1179 meV per atom
# **Energy relative to the lowest polymorph listed for this composition**: 243 meV per atom
data_TbTeSe
_cell_length_a 3.821
_cell_length_b 3.821
_cell_length_c 6.021
_cell_angle_alpha 108.50
_cell_angle_beta 108.50
_cell_angle_gamma 90.00
_space_group_name_H-M_alt 'P 1'
_space_group_IT_number 1
loop_
_space_group_symop_operation_xyz
'x,y,z'
loop_
_atom_site_label
_atom_site_type_symbol
_atom_site_fract_x
_atom_site_fract_y
_atom_site_fract_z
Te1 Te 0.322 0.322 0.644
Tb1 Tb 0.644 0.644 0.288
Se1 Se 0.034 0.034 0.068

# HgPbSN2 (GGA-PBE, optimized geometry)
# **M_tot**: 2.987 μB/cell
# **Energy relative to the elements, uncorrected**: 1597 meV per atom
# **Energy relative to the lowest polymorph listed for this composition**: 49 meV per atom
data_HgPbSN2
_cell_length_a 4.418
_cell_length_b 4.418
_cell_length_c 5.623
_cell_angle_alpha 90.00
_cell_angle_beta 90.00
_cell_angle_gamma 90.00
_space_group_name_H-M_alt 'P 1'
_space_group_IT_number 1
loop_
_space_group_symop_operation_xyz
'x,y,z'
loop_
_atom_site_label
_atom_site_type_symbol
_atom_site_fract_x
_atom_site_fract_y
_atom_site_fract_z
Pb1 Pb 0.000 0.000 0.000
S1 S 0.000 0.000 0.500
Hg1 Hg 0.500 0.500 0.500
N1 N 0.000 0.500 0.000
N2 N 0.500 0.000 0.000

Which D(E_F) belongs to each record? In order, 29.93; 9.74; 1.82; 2.29; 1.60; 5.42; 1.19; 4.63; 20.35; 5.13; 7.81; 2.15; 2.40 states/eV/f.u..